{
  "formula": "K2TbTlI6",
  "functional": "GGA-PBE",
  "state": "relaxed",
  "cell": [[4.334, 2.502, 7.507], [-4.334, 2.502, 7.507], [0.000, -5.004, 7.507]],
  "species": ["K", "K", "Tb", "Tl", "I", "I", "I", "I", "I", "I"],
  "fractional_positions": [[0.000, 0.000, 0.000], [0.489, 0.489, 0.489], [0.692, 0.692, 0.692], [0.201, 0.201, 0.201], [0.037, 0.455, 0.810], [0.340, 0.902, 0.586], [0.455, 0.810, 0.037], [0.586, 0.340, 0.902], [0.810, 0.037, 0.455], [0.902, 0.586, 0.340]],
  "raw_formation_energy_ev_per_fu": -12.85,
  "magmom_total_mub_per_cell": 0.000,
  "n_ef_per_ev_fu": 0.0
}